Cd2AgAs | PBE | relaxed

```
data_Cd2AgAs
_cell_length_a 4.316
_cell_length_b 4.325
_cell_length_c 8.827
_cell_angle_alpha 90.00
_cell_angle_beta 90.00
_cell_angle_gamma 90.00
_symmetry_space_group_name_H-M 'C m m 2'
_symmetry_Int_Tables_number 35
_symmetry_space_group_name_Hall 'C 2 -2'
loop_
_atom_site_label
_atom_site_fract_x
_atom_site_fract_y
_atom_site_fract_z
_atom_site_occupancy
Cd1 0.000 0.000 0.000 1
Cd2 0.000 0.500 0.270 1
Ag1 0.000 0.000 0.508 1
As1 0.000 0.500 0.734 1
```

Calculated values
DFT formation energy = 0.11 eV/atom